No. 1
! GGA+U NaV2AgO6, optimized geometry; values from VASP
&SYSTEM
  ibrav = 0, nat = 20, ntyp = 4
/
ATOMIC_SPECIES
Na 22.99 Na.upf
V 50.94 V.upf
Ag 107.87 Ag.upf
O 16.00 O.upf
CELL_PARAMETERS angstrom
5.468 -4.892 0.000
5.468 4.892 0.000
-1.989 0.000 5.680
ATOMIC_POSITIONS crystal
Na 0.226 0.774 0.750
Na 0.774 0.226 0.250
V 0.115 0.291 0.717
V 0.291 0.115 0.217
V 0.709 0.885 0.783
V 0.885 0.709 0.283
Ag 0.412 0.588 0.250
Ag 0.588 0.412 0.750
O 0.107 0.619 0.325
O 0.139 0.156 0.427
O 0.156 0.139 0.927
O 0.269 0.466 0.819
O 0.381 0.893 0.175
O 0.466 0.269 0.319
O 0.534 0.731 0.681
O 0.619 0.107 0.825
O 0.731 0.534 0.181
O 0.844 0.861 0.073
O 0.861 0.844 0.573
O 0.893 0.381 0.675
! Total moment = 0.000 μB/f.u.
! Theoretical density = 3.6 g/cm3
! Space-group type = C2/c, No. 15



No. 2
! GGA+U NaAg2WO4, optimized geometry; values from VASP
&SYSTEM
  ibrav = 0, nat = 8, ntyp = 4
/
ATOMIC_SPECIES
Na 22.99 Na.upf
Ag 107.87 Ag.upf
W 183.84 W.upf
O 16.00 O.upf
CELL_PARAMETERS angstrom
0.000 3.540 5.721
3.534 0.000 5.721
3.534 3.540 0.000
ATOMIC_POSITIONS crystal
Na 0.000 0.000 0.000
Ag 0.250 0.250 0.250
Ag 0.750 0.750 0.750
W 0.501 0.501 0.499
O 0.198 0.617 0.383
O 0.383 0.804 0.617
O 0.617 0.198 0.802
O 0.804 0.383 0.196
! Total moment = 0.000 μB/f.u.
! Theoretical density = 5.6 g/cm3
! Space-group type = Fmm2, No. 42



No. 3
! GGA+U NaAgW2O8, optimized geometry; values from VASP
&SYSTEM
  ibrav = 0, nat = 12, ntyp = 4
/
ATOMIC_SPECIES
Na 22.99 Na.upf
Ag 107.87 Ag.upf
W 183.84 W.upf
O 16.00 O.upf
CELL_PARAMETERS angstrom
-3.652 3.652 3.499
3.652 -3.652 3.499
3.652 3.652 -3.499
ATOMIC_POSITIONS crystal
Na 0.000 0.000 0.000
Ag 0.250 0.750 0.500
W 0.500 0.500 0.000
W 0.750 0.250 0.500
O 0.346 0.145 0.800
O 0.346 0.546 0.200
O 0.396 0.096 0.300
O 0.454 0.654 0.800
O 0.796 0.096 0.700
O 0.855 0.654 0.200
O 0.904 0.204 0.300
O 0.904 0.604 0.700
! Total moment = 2.094 μB/f.u.
! Theoretical density = 5.6 g/cm3
! Space-group type = I-4m2, No. 119



No. 4
! GGA+U NaAgWO2, optimized geometry; values from VASP
&SYSTEM
  ibrav = 0, nat = 5, ntyp = 4
/
ATOMIC_SPECIES
Na 22.99 Na.upf
Ag 107.87 Ag.upf
W 183.84 W.upf
O 16.00 O.upf
CELL_PARAMETERS angstrom
4.288 0.000 0.000
0.000 4.288 0.000
0.000 0.000 5.307
ATOMIC_POSITIONS crystal
Na 0.000 0.000 0.000
Ag 0.500 0.500 0.500
W 0.500 0.500 0.000
O 0.000 0.500 0.500
O 0.500 0.000 0.500
! Total moment = 4.725 μB/f.u.
! Theoretical density = 5.9 g/cm3
! Space-group type = P4/mmm, No. 123



Looking at uncorrected energy for the records above, in order, we have -130.53 -43.14 -73.77 -16.71 eV per cell.